The following is a PBE calculation of an optimized crystal structure of TaPtSeN2, from the Alexandria database.

Unit cell a=3.723 b=3.723 c=8.006 alpha=90.00 beta=90.00 gamma=90.00
Positions (direct):
Ta 0.000 0.000 0.000
Pt 0.500 0.500 0.500
Se 0.500 0.500 0.000
N 0.000 0.500 0.500
N 0.500 0.000 0.500

**Energy relative to the elements, uncorrected**: 1.35 eV/atom
**Polymorph energy (0 for the lowest one)**: 0.844 eV per atom
**Magnetic moment**: 2.133 Bohr magnetons per cell
**DOS(E_F)**: 3.9 states/eV per cell